Entry 1:
Density functional theory data (PBE-GGA) for NaPu3Te4 after structural relaxation.

```
NaPu3Te4
1.0
8.966 0.000 0.000
0.000 12.731 0.000
0.000 0.000 4.467
Na Pu Te
2 6 8
Cartesian
0.000 0.000 0.000 Na
4.483 6.366 0.000 Na
0.000 6.366 0.000 Pu
2.241 3.183 2.234 Pu
2.241 9.549 2.234 Pu
4.483 0.000 0.000 Pu
6.724 3.183 2.234 Pu
6.724 9.549 2.234 Pu
0.000 3.189 0.000 Te
0.000 9.543 0.000 Te
2.207 6.366 2.234 Te
2.276 0.000 2.234 Te
4.483 3.177 0.000 Te
4.483 9.554 0.000 Te
6.690 0.000 2.234 Te
6.759 6.366 2.234 Te
```

Results
- raw formation energy (kJ per mole of atoms) = -100
- M_tot (μB per atom) = 0.743
- crystal system = orthorhombic
- V (A^3/atom) = 31.9


Entry 2:
Density functional theory data (PBE-GGA) for SrCl after structural relaxation.

```
SrCl
1.0
3.979 0.000 0.000
0.000 4.481 0.000
0.000 0.000 16.028
Sr Cl
4 4
Cartesian
0.000 0.000 0.000 Sr
0.000 0.000 4.672 Sr
1.990 2.241 8.014 Sr
1.990 2.241 12.686 Sr
0.000 0.000 12.976 Cl
0.000 2.241 10.307 Cl
1.990 0.000 2.293 Cl
1.990 2.241 4.961 Cl
```

Results
- raw formation energy (kJ per mole of atoms) = -161
- M_tot (μB per atom) = 0.029
- crystal system = orthorhombic
- V (A^3/atom) = 35.7


Entry 3:
Density functional theory data (PBE-GGA) for Nb2GeMo after structural relaxation.

```
Nb2GeMo
1.0
4.270 0.000 0.000
0.000 4.270 0.000
0.000 0.000 3.676
Nb Ge Mo
2 1 1
Cartesian
0.000 2.135 0.000 Nb
2.135 0.000 0.000 Nb
0.000 0.000 1.838 Ge
2.135 2.135 1.838 Mo
```

Results
- M_tot (μB per atom) = 0.000
- uncorrected energy (eV per atom) = -9.062
- crystal system = tetragonal
- V (A^3/atom) = 16.8


Entry 4:
Density functional theory data (PBE-GGA) for CsCaTl3 after structural relaxation.

```
CsCaTl3
1.0
6.158 0.000 0.000
0.000 6.158 0.000
0.000 0.000 6.158
Cs Ca Tl
1 1 3
Cartesian
0.000 0.000 0.000 Cs
3.079 3.079 3.079 Ca
0.000 3.079 3.079 Tl
3.079 0.000 3.079 Tl
3.079 3.079 0.000 Tl
```

Results
- M_tot (μB per atom) = 0.000
- uncorrected energy (eV per atom) = -1.871
- crystal system = cubic
- V (A^3/atom) = 46.7